Material: CsSn2HgSe6
Method: DFT, PBE-GGA
State: relaxed

Cell and atoms, written as CIF:
```
data_CsSn2HgSe6
_cell_length_a 10.672
_cell_length_b 10.672
_cell_length_c 6.901
_cell_angle_alpha 97.64
_cell_angle_beta 97.64
_cell_angle_gamma 92.96
_space_group_name_H-M_alt 'P 1'
_space_group_IT_number 1
loop_
_space_group_symop_operation_xyz
'x,y,z'
loop_
_atom_site_label
_atom_site_type_symbol
_atom_site_fract_x
_atom_site_fract_y
_atom_site_fract_z
Cs1 Cs 0.129 0.871 0.750
Cs2 Cs 0.871 0.129 0.250
Sn1 Sn 0.209 0.352 0.846
Sn2 Sn 0.352 0.209 0.346
Sn3 Sn 0.648 0.791 0.654
Sn4 Sn 0.791 0.648 0.154
Hg1 Hg 0.318 0.682 0.250
Hg2 Hg 0.682 0.318 0.750
Se1 Se 0.009 0.207 0.805
Se2 Se 0.138 0.571 0.004
Se3 Se 0.207 0.009 0.305
Se4 Se 0.277 0.415 0.521
Se5 Se 0.415 0.277 0.021
Se6 Se 0.429 0.862 0.496
Se7 Se 0.571 0.138 0.504
Se8 Se 0.585 0.723 0.979
Se9 Se 0.723 0.585 0.479
Se10 Se 0.793 0.991 0.695
Se11 Se 0.862 0.429 0.996
Se12 Se 0.991 0.793 0.195
```

Results
uncorrected formation energy: -0.373 eV per atom
Fermi-level density of states: 0.348 states/eV/atom
size of the total moment: 0.00 μB/f.u.
volume: 770.1 Å³ per cell
total energy: -33.80 eV/f.u.

=====

Material: Pm3Er2Tl2
Method: DFT, PBE-GGA
State: relaxed

Cell and atoms, written as CIF:
```
data_Pm3Er2Tl2
_cell_length_a 9.493
_cell_length_b 5.493
_cell_length_c 8.696
_cell_angle_alpha 90.00
_cell_angle_beta 111.49
_cell_angle_gamma 90.00
_space_group_name_H-M_alt 'P 1'
_space_group_IT_number 1
loop_
_space_group_symop_operation_xyz
'x,y,z'
loop_
_atom_site_label
_atom_site_type_symbol
_atom_site_fract_x
_atom_site_fract_y
_atom_site_fract_z
Pm1 Pm 0.000 0.000 0.000
Pm2 Pm 0.157 0.000 0.471
Pm3 Pm 0.343 0.500 0.529
Pm4 Pm 0.500 0.500 0.000
Pm5 Pm 0.657 0.500 0.471
Pm6 Pm 0.843 0.000 0.529
Er1 Er 0.073 0.500 0.720
Er2 Er 0.427 0.000 0.280
Er3 Er 0.573 0.000 0.720
Er4 Er 0.927 0.500 0.280
Tl1 Tl 0.213 0.500 0.140
Tl2 Tl 0.287 0.000 0.860
Tl3 Tl 0.713 0.000 0.140
Tl4 Tl 0.787 0.500 0.860
```

Results
energy of formation: -192.2 meV per atom
Fermi-level density of states: 0.941 states/eV/atom
size of the total moment: 0.00 μB/f.u.
offset from the most stable computed form: 0 meV per atom
volume: 422.0 Å³ per cell
total energy: -29.46 eV/f.u.

=====

Material: Li2AcMg2Ga
Method: DFT, PBE-GGA
State: relaxed

Cell and atoms, written as CIF:
```
data_Li2AcMg2Ga
_cell_length_a 4.986
_cell_length_b 4.986
_cell_length_c 12.044
_cell_angle_alpha 90.00
_cell_angle_beta 90.00
_cell_angle_gamma 90.00
_space_group_name_H-M_alt 'P 1'
_space_group_IT_number 1
loop_
_space_group_symop_operation_xyz
'x,y,z'
loop_
_atom_site_label
_atom_site_type_symbol
_atom_site_fract_x
_atom_site_fract_y
_atom_site_fract_z
Li1 Li 0.000 0.000 0.195
Li2 Li 0.000 0.000 0.805
Li3 Li 0.500 0.500 0.305
Li4 Li 0.500 0.500 0.695
Ac1 Ac 0.000 0.000 0.500
Ac2 Ac 0.500 0.500 0.000
Mg1 Mg 0.000 0.500 0.250
Mg2 Mg 0.000 0.500 0.750
Mg3 Mg 0.500 0.000 0.250
Mg4 Mg 0.500 0.000 0.750
Ga1 Ga 0.000 0.000 0.000
Ga2 Ga 0.500 0.500 0.500
```

Results
energy of formation: 52.7 meV per atom
Fermi-level density of states: 0.708 states/eV/atom
size of the total moment: 0.00 μB/f.u.
volume: 299.5 Å³ per cell
total energy: -13.84 eV/f.u.

=====

Material: PmAg4Pd
Method: DFT, PBE-GGA
State: relaxed

Cell and atoms, written as CIF:
```
data_PmAg4Pd
_cell_length_a 8.883
_cell_length_b 8.883
_cell_length_c 5.024
_cell_angle_alpha 92.20
_cell_angle_beta 92.20
_cell_angle_gamma 142.83
_space_group_name_H-M_alt 'P 1'
_space_group_IT_number 1
loop_
_space_group_symop_operation_xyz
'x,y,z'
loop_
_atom_site_label
_atom_site_type_symbol
_atom_site_fract_x
_atom_site_fract_y
_atom_site_fract_z
Pm1 Pm 0.121 0.879 0.750
Pm2 Pm 0.879 0.121 0.250
Ag1 Ag 0.045 0.462 0.755
Ag2 Ag 0.228 0.309 0.801
Ag3 Ag 0.309 0.228 0.301
Ag4 Ag 0.462 0.045 0.255
Ag5 Ag 0.538 0.955 0.745
Ag6 Ag 0.691 0.772 0.699
Ag7 Ag 0.772 0.691 0.199
Ag8 Ag 0.955 0.538 0.245
Pd1 Pd 0.364 0.636 0.250
Pd2 Pd 0.636 0.364 0.750
```

Results
energy of formation: -202.2 meV per atom
Fermi-level density of states: 0.387 states/eV/atom
size of the total moment: 0.00 μB/f.u.
offset from the most stable computed form: 9 meV per atom
volume: 237.8 Å³ per cell
total energy: -22.56 eV/f.u.